No. 1
The following is a PBE-GGA calculation of crystalline CdFeSi2 at its relaxed geometry, from Alexandria via LeMat-Bulk. Values from VASP.

```
&SYSTEM
  ibrav = 0, nat = 4, ntyp = 3
/
ATOMIC_SPECIES
Cd 112.41 Cd.upf
Fe 55.84 Fe.upf
Si 28.09 Si.upf
CELL_PARAMETERS angstrom
2.980 0.000 0.000
0.000 2.980 0.000
0.000 0.000 6.858
ATOMIC_POSITIONS crystal
Cd 0.000 0.000 0.000
Fe 0.500 0.500 0.287
Si 0.000 0.000 0.428
Si 0.500 0.500 0.647
```

Properties
Calculated density   6.118 g/cm3
Final energy   -19.51 eV/cell
Total moment   0.000 μB per atom
Formation energy (no corrections)   177.6 meV per atom

=====

No. 2
The following is a PBE-GGA calculation of crystalline Be2Al2Co at its relaxed geometry, from Alexandria via LeMat-Bulk. Values from VASP.

```
&SYSTEM
  ibrav = 0, nat = 10, ntyp = 3
/
ATOMIC_SPECIES
Be 9.01 Be.upf
Al 26.98 Al.upf
Co 58.93 Co.upf
CELL_PARAMETERS angstrom
5.860 0.000 0.000
0.000 5.860 0.000
0.000 0.000 3.287
ATOMIC_POSITIONS crystal
Be 0.126 0.374 0.000
Be 0.374 0.874 0.000
Be 0.626 0.126 0.000
Be 0.874 0.626 0.000
Al 0.174 0.674 0.500
Al 0.326 0.174 0.500
Al 0.674 0.826 0.500
Al 0.826 0.326 0.500
Co 0.000 0.000 0.000
Co 0.500 0.500 0.000
```

Properties
Calculated density   3.853 g/cm3
Final energy   -44.01 eV/cell
Total moment   0.000 μB per atom

=====

No. 3
The following is a PBE-GGA calculation of crystalline In3BiTe6 at its relaxed geometry, from Alexandria via LeMat-Bulk. Values from VASP.

```
&SYSTEM
  ibrav = 0, nat = 20, ntyp = 3
/
ATOMIC_SPECIES
In 114.82 In.upf
Bi 208.98 Bi.upf
Te 127.60 Te.upf
CELL_PARAMETERS angstrom
12.607 0.000 0.000
0.000 4.311 0.000
-6.204 0.000 12.834
ATOMIC_POSITIONS crystal
In 0.039 0.250 0.326
In 0.298 0.250 0.064
In 0.342 0.750 0.305
In 0.658 0.250 0.695
In 0.702 0.750 0.936
In 0.961 0.750 0.674
Bi 0.267 0.250 0.762
Bi 0.733 0.750 0.238
Te 0.063 0.250 0.820
Te 0.135 0.750 0.596
Te 0.154 0.750 0.100
Te 0.287 0.250 0.425
Te 0.375 0.750 0.957
Te 0.493 0.250 0.274
Te 0.507 0.750 0.726
Te 0.625 0.250 0.043
Te 0.713 0.750 0.575
Te 0.846 0.250 0.900
Te 0.865 0.250 0.404
Te 0.937 0.750 0.180
```

Properties
Calculated density   6.281 g/cm3
Final energy   -66.26 eV/cell
Total moment   0.000 μB per atom
Formation energy (no corrections)   -218.3 meV per atom

=====

No. 4
The following is a PBE-GGA calculation of crystalline CrRe2Se5 at its relaxed geometry, from Alexandria via LeMat-Bulk. Values from VASP.

```
&SYSTEM
  ibrav = 0, nat = 8, ntyp = 3
/
ATOMIC_SPECIES
Cr 52.00 Cr.upf
Re 186.21 Re.upf
Se 78.96 Se.upf
CELL_PARAMETERS angstrom
5.915 -3.302 0.000
5.915 3.302 0.000
-2.270 0.000 5.033
ATOMIC_POSITIONS crystal
Cr 0.000 0.000 0.000
Re 0.074 0.074 0.553
Re 0.468 0.468 0.962
Se 0.170 0.678 0.240
Se 0.279 0.279 0.579
Se 0.383 0.863 0.916
Se 0.678 0.170 0.240
Se 0.863 0.383 0.916
```

Properties
Calculated density   6.919 g/cm3
Final energy   -50.91 eV/cell
Total moment   0.214 μB per atom
Formation energy (no corrections)   128.9 meV per atom

=====

No. 5
The following is a PBE-GGA calculation of crystalline Sm5Er2Tm2 at its relaxed geometry, from Alexandria via LeMat-Bulk. Values from VASP.

```
&SYSTEM
  ibrav = 0, nat = 18, ntyp = 3
/
ATOMIC_SPECIES
Sm 150.36 Sm.upf
Er 167.26 Er.upf
Tm 168.93 Tm.upf
CELL_PARAMETERS angstrom
-7.500 6.386 3.075
7.500 -6.386 3.075
7.500 6.386 -3.075
ATOMIC_POSITIONS crystal
Sm 0.074 0.002 0.571
Sm 0.200 0.048 0.248
Sm 0.200 0.452 0.652
Sm 0.431 0.502 0.429
Sm 0.477 0.019 0.170
Sm 0.477 0.807 0.958
Sm 0.800 0.548 0.348
Sm 0.800 0.952 0.752
Sm 0.849 0.307 0.830
Sm 0.849 0.519 0.042
Er 0.597 0.097 0.500
Er 0.597 0.597 0.000
Er 0.670 0.475 0.696
Er 0.779 0.975 0.304
Tm 0.109 0.293 0.086
Tm 0.109 0.523 0.316
Tm 0.206 0.023 0.914
Tm 0.206 0.793 0.684
```

Properties
Calculated density   8.029 g/cm3
Final energy   -80.07 eV/cell
Total moment   0.000 μB per atom

=====

No. 6
The following is a PBE-GGA calculation of crystalline AcLaNd2Bi4 at its relaxed geometry, from Alexandria via LeMat-Bulk. Values from VASP.

```
&SYSTEM
  ibrav = 0, nat = 8, ntyp = 4
/
ATOMIC_SPECIES
Ac 227.00 Ac.upf
La 138.91 La.upf
Nd 144.24 Nd.upf
Bi 208.98 Bi.upf
CELL_PARAMETERS angstrom
8.145 0.000 0.000
0.000 4.706 0.000
-2.713 0.000 7.683
ATOMIC_POSITIONS crystal
Ac 0.000 0.000 0.000
La 0.500 0.500 0.000
Nd 0.000 0.500 0.500
Nd 0.500 0.000 0.500
Bi 0.252 0.000 0.742
Bi 0.258 0.500 0.261
Bi 0.742 0.500 0.739
Bi 0.748 0.000 0.258
```

Properties
Calculated density   8.403 g/cm3
Final energy   -41.95 eV/cell
Total moment   0.000 μB per atom

=====

No. 7
The following is a PBE-GGA calculation of crystalline CsBaAu3 at its relaxed geometry, from Alexandria via LeMat-Bulk. Values from VASP.

```
&SYSTEM
  ibrav = 0, nat = 5, ntyp = 3
/
ATOMIC_SPECIES
Cs 132.91 Cs.upf
Ba 137.33 Ba.upf
Au 196.97 Au.upf
CELL_PARAMETERS angstrom
6.183 0.000 0.000
0.000 6.183 0.000
0.000 0.000 6.183
ATOMIC_POSITIONS crystal
Cs 0.000 0.000 0.000
Ba 0.500 0.500 0.500
Au 0.000 0.000 0.500
Au 0.000 0.500 0.000
Au 0.500 0.000 0.000
```

Properties
Calculated density   6.048 g/cm3
Final energy   -11.36 eV/cell
Total moment   0.000 μB per atom

=====

No. 8
The following is a PBE-GGA calculation of crystalline HfMg3Cd at its relaxed geometry, from Alexandria via LeMat-Bulk. Values from VASP.

```
&SYSTEM
  ibrav = 0, nat = 5, ntyp = 3
/
ATOMIC_SPECIES
Hf 178.49 Hf.upf
Mg 24.30 Mg.upf
Cd 112.41 Cd.upf
CELL_PARAMETERS angstrom
5.056 0.000 0.000
0.000 5.056 0.000
0.000 0.000 5.056
ATOMIC_POSITIONS crystal
Hf 0.000 0.000 0.000
Mg 0.000 0.500 0.500
Mg 0.500 0.000 0.500
Mg 0.500 0.500 0.000
Cd 0.500 0.500 0.500
```

Properties
Calculated density   4.673 g/cm3
Final energy   -12.04 eV/cell
Total moment   0.000 μB per atom

=====

No. 9
The following is a PBE-GGA calculation of crystalline LiLaBr2 at its relaxed geometry, from Alexandria via LeMat-Bulk. Values from VASP.

```
&SYSTEM
  ibrav = 0, nat = 4, ntyp = 3
/
ATOMIC_SPECIES
Li 6.94 Li.upf
La 138.91 La.upf
Br 79.90 Br.upf
CELL_PARAMETERS angstrom
1.912 1.104 7.966
-1.912 1.104 7.966
0.000 -2.208 7.966
ATOMIC_POSITIONS crystal
Li 0.000 0.000 0.000
La 0.167 0.167 0.167
Br 0.401 0.401 0.401
Br 0.600 0.600 0.600
```

Properties
Calculated density   5.030 g/cm3
Final energy   -15.66 eV/cell
Total moment   0.000 μB per atom
Formation energy (no corrections)   -1367.6 meV per atom

=====

No. 10
The following is a PBE-GGA calculation of crystalline Tc2HgRu2 at its relaxed geometry, from Alexandria via LeMat-Bulk. Values from VASP.

```
&SYSTEM
  ibrav = 0, nat = 10, ntyp = 3
/
ATOMIC_SPECIES
Tc 98.00 Tc.upf
Hg 200.59 Hg.upf
Ru 101.07 Ru.upf
CELL_PARAMETERS angstrom
7.629 0.000 0.000
0.000 7.629 0.000
0.000 0.000 2.770
ATOMIC_POSITIONS crystal
Tc 0.121 0.379 0.000
Tc 0.379 0.879 0.000
Tc 0.621 0.121 0.000
Tc 0.879 0.621 0.000
Hg 0.000 0.000 0.000
Hg 0.500 0.500 0.000
Ru 0.165 0.665 0.500
Ru 0.335 0.165 0.500
Ru 0.665 0.835 0.500
Ru 0.835 0.335 0.500
```

Properties
Calculated density   12.334 g/cm3
Final energy   -76.15 eV/cell
Total moment   0.000 μB per atom

=====

No. 11
The following is a PBE-GGA calculation of crystalline Pm3BN4 at its relaxed geometry, from Alexandria via LeMat-Bulk. Values from VASP.

```
&SYSTEM
  ibrav = 0, nat = 16, ntyp = 3
/
ATOMIC_SPECIES
Pm 145.00 Pm.upf
B 10.81 B.upf
N 14.01 N.upf
CELL_PARAMETERS angstrom
7.207 0.000 0.000
0.000 6.394 0.000
0.000 0.000 5.378
ATOMIC_POSITIONS crystal
Pm 0.000 0.122 0.000
Pm 0.243 0.333 0.498
Pm 0.257 0.667 0.998
Pm 0.500 0.878 0.500
Pm 0.743 0.667 0.998
Pm 0.757 0.333 0.498
B 0.000 0.824 0.470
B 0.500 0.176 0.970
N 0.000 0.082 0.536
N 0.000 0.801 0.177
N 0.197 0.707 0.568
N 0.303 0.293 0.068
N 0.500 0.199 0.677
N 0.500 0.918 0.036
N 0.697 0.293 0.068
N 0.803 0.707 0.568
```

Properties
Calculated density   6.725 g/cm3
Final energy   -122.76 eV/cell
Total moment   0.000 μB per atom
Formation energy (no corrections)   -893.7 meV per atom

=====

No. 12
The following is a PBE-GGA calculation of crystalline YGeH3 at its relaxed geometry, from Alexandria via LeMat-Bulk. Values from VASP.

```
&SYSTEM
  ibrav = 0, nat = 5, ntyp = 3
/
ATOMIC_SPECIES
Y 88.91 Y.upf
Ge 72.64 Ge.upf
H 1.01 H.upf
CELL_PARAMETERS angstrom
4.075 0.000 0.000
0.000 4.075 0.000
0.000 0.000 4.075
ATOMIC_POSITIONS crystal
Y 0.000 0.000 0.000
Ge 0.500 0.500 0.500
H 0.000 0.000 0.500
H 0.000 0.500 0.000
H 0.500 0.000 0.000
```

Properties
Calculated density   4.040 g/cm3
Final energy   -20.57 eV/cell
Total moment   0.000 μB per atom

=====

No. 13
The following is a PBE-GGA calculation of crystalline Er2Be12Ni5 at its relaxed geometry, from Alexandria via LeMat-Bulk. Values from VASP.

```
&SYSTEM
  ibrav = 0, nat = 19, ntyp = 3
/
ATOMIC_SPECIES
Er 167.26 Er.upf
Be 9.01 Be.upf
Ni 58.69 Ni.upf
CELL_PARAMETERS angstrom
3.970 2.292 3.792
-3.970 2.292 3.792
0.000 -4.585 3.792
ATOMIC_POSITIONS crystal
Er 0.159 0.159 0.159
Er 0.841 0.841 0.841
Be 0.164 0.164 0.649
Be 0.164 0.649 0.164
Be 0.224 0.500 0.776
Be 0.224 0.776 0.500
Be 0.351 0.836 0.836
Be 0.500 0.224 0.776
Be 0.500 0.776 0.224
Be 0.649 0.164 0.164
Be 0.776 0.224 0.500
Be 0.776 0.500 0.224
Be 0.836 0.351 0.836
Be 0.836 0.836 0.351
Ni 0.000 0.500 0.500
Ni 0.399 0.399 0.399
Ni 0.500 0.000 0.500
Ni 0.500 0.500 0.000
Ni 0.601 0.601 0.601
```

Properties
Calculated density   5.903 g/cm3
Final energy   -88.00 eV/cell
Total moment   0.000 μB per atom

=====

No. 14
The following is a PBE-GGA calculation of crystalline VCuBiS2 at its relaxed geometry, from Alexandria via LeMat-Bulk. Values from VASP.

```
&SYSTEM
  ibrav = 0, nat = 5, ntyp = 4
/
ATOMIC_SPECIES
V 50.94 V.upf
Cu 63.55 Cu.upf
Bi 208.98 Bi.upf
S 32.06 S.upf
CELL_PARAMETERS angstrom
4.508 0.000 0.000
0.000 4.508 0.000
0.000 0.000 4.914
ATOMIC_POSITIONS crystal
V 0.000 0.000 0.000
Cu 0.000 0.000 0.500
Bi 0.500 0.500 0.500
S 0.000 0.500 0.000
S 0.500 0.000 0.000
```

Properties
Calculated density   6.444 g/cm3
Final energy   -24.54 eV/cell
Total moment   0.127 μB per atom
Formation energy (no corrections)   162.8 meV per atom

=====

No. 15
The following is a PBE-GGA calculation of crystalline TlTe2As at its relaxed geometry, from Alexandria via LeMat-Bulk. Values from VASP.

```
&SYSTEM
  ibrav = 0, nat = 4, ntyp = 3
/
ATOMIC_SPECIES
Tl 204.38 Tl.upf
Te 127.60 Te.upf
As 74.92 As.upf
CELL_PARAMETERS angstrom
-2.110 2.110 6.807
2.110 -2.110 6.807
2.110 2.110 -6.807
ATOMIC_POSITIONS crystal
Tl 0.000 0.000 0.000
Te 0.500 0.500 0.000
Te 0.750 0.250 0.500
As 0.250 0.750 0.500
```

Properties
Calculated density   7.320 g/cm3
Final energy   -12.21 eV/cell
Total moment   0.000 μB per atom
Formation energy (no corrections)   272.1 meV per atom

=====

No. 16
The following is a PBE-GGA calculation of crystalline RbPb2O4 at its relaxed geometry, from Alexandria via LeMat-Bulk. Values from VASP.

```
&SYSTEM
  ibrav = 0, nat = 14, ntyp = 3
/
ATOMIC_SPECIES
Rb 85.47 Rb.upf
Pb 207.20 Pb.upf
O 16.00 O.upf
CELL_PARAMETERS angstrom
6.037 -3.484 0.000
6.037 3.484 0.000
-4.014 0.000 6.340
ATOMIC_POSITIONS crystal
Rb 0.130 0.130 0.390
Rb 0.870 0.870 0.610
Pb 0.000 0.500 0.000
Pb 0.500 0.000 0.000
Pb 0.500 0.500 0.000
Pb 0.500 0.500 0.500
O 0.256 0.679 0.193
O 0.257 0.257 0.193
O 0.273 0.273 0.818
O 0.321 0.744 0.807
O 0.679 0.256 0.193
O 0.727 0.727 0.182
O 0.743 0.743 0.807
O 0.744 0.321 0.807
```

Properties
Calculated density   7.020 g/cm3
Final energy   -70.97 eV/cell
Total moment   0.000 μB per atom
Formation energy (no corrections)   -1038.5 meV per atom

=====

No. 17
The following is a PBE-GGA calculation of crystalline ZnSb2Te2Pd7 at its relaxed geometry, from Alexandria via LeMat-Bulk. Values from VASP.

```
&SYSTEM
  ibrav = 0, nat = 12, ntyp = 4
/
ATOMIC_SPECIES
Zn 65.41 Zn.upf
Sb 121.76 Sb.upf
Te 127.60 Te.upf
Pd 106.42 Pd.upf
CELL_PARAMETERS angstrom
2.815 -2.817 0.000
2.815 2.817 0.000
-2.739 0.000 15.500
ATOMIC_POSITIONS crystal
Zn 0.000 0.000 0.000
Sb 0.385 0.385 0.764
Sb 0.615 0.615 0.236
Te 0.209 0.209 0.419
Te 0.791 0.791 0.581
Pd 0.061 0.561 0.126
Pd 0.297 0.297 0.594
Pd 0.439 0.939 0.874
Pd 0.500 0.500 0.000
Pd 0.561 0.061 0.126
Pd 0.703 0.703 0.406
Pd 0.939 0.439 0.874
```

Properties
Calculated density   8.840 g/cm3
Final energy   -56.35 eV/cell
Total moment   0.000 μB per atom
Formation energy (no corrections)   -350.0 meV per atom

=====

No. 18
The following is a PBE-GGA calculation of crystalline AlZnCd2 at its relaxed geometry, from Alexandria via LeMat-Bulk. Values from VASP.

```
&SYSTEM
  ibrav = 0, nat = 4, ntyp = 3
/
ATOMIC_SPECIES
Al 26.98 Al.upf
Zn 65.41 Zn.upf
Cd 112.41 Cd.upf
CELL_PARAMETERS angstrom
4.843 -1.486 0.000
4.843 1.486 0.000
-1.316 0.000 5.464
ATOMIC_POSITIONS crystal
Al 0.000 0.000 0.000
Zn 0.500 0.500 0.500
Cd 0.246 0.246 0.746
Cd 0.754 0.754 0.254
```

Properties
Calculated density   6.697 g/cm3
Final energy   -6.41 eV/cell
Total moment   0.000 μB per atom

=====

No. 19
The following is a PBE-GGA calculation of crystalline Nb13Au3 at its relaxed geometry, from Alexandria via LeMat-Bulk. Values from VASP.

```
&SYSTEM
  ibrav = 0, nat = 16, ntyp = 2
/
ATOMIC_SPECIES
Nb 92.91 Nb.upf
Au 196.97 Au.upf
CELL_PARAMETERS angstrom
6.732 0.000 0.000
0.000 4.652 4.637
0.000 -4.652 4.637
ATOMIC_POSITIONS crystal
Nb 0.000 0.000 0.000
Nb 0.000 0.502 0.502
Nb 0.000 0.513 0.991
Nb 0.000 0.991 0.513
Nb 0.246 0.260 0.753
Nb 0.246 0.753 0.260
Nb 0.249 0.755 0.755
Nb 0.500 0.002 0.501
Nb 0.500 0.501 0.002
Nb 0.500 0.516 0.516
Nb 0.751 0.755 0.755
Nb 0.754 0.260 0.753
Nb 0.754 0.753 0.260
Au 0.244 0.258 0.258
Au 0.500 0.000 0.000
Au 0.756 0.258 0.258
```

Properties
Calculated density   10.283 g/cm3
Final energy   -141.81 eV/cell
Total moment   0.000 μB per atom

=====

No. 20
The following is a PBE-GGA calculation of crystalline Tb2Pm6SmSc at its relaxed geometry, from Alexandria via LeMat-Bulk. Values from VASP.

```
&SYSTEM
  ibrav = 0, nat = 20, ntyp = 4
/
ATOMIC_SPECIES
Tb 158.93 Tb.upf
Pm 145.00 Pm.upf
Sm 150.36 Sm.upf
Sc 44.96 Sc.upf
CELL_PARAMETERS angstrom
4.622 -7.622 0.000
4.622 7.622 0.000
-1.072 0.000 9.404
ATOMIC_POSITIONS crystal
Tb 0.194 0.295 0.452
Tb 0.295 0.194 0.952
Tb 0.705 0.806 0.048
Tb 0.806 0.705 0.548
Pm 0.011 0.790 0.887
Pm 0.061 0.495 0.694
Pm 0.210 0.989 0.613
Pm 0.263 0.624 0.052
Pm 0.376 0.737 0.448
Pm 0.495 0.061 0.194
Pm 0.505 0.939 0.806
Pm 0.624 0.263 0.552
Pm 0.737 0.376 0.948
Pm 0.790 0.011 0.387
Pm 0.939 0.505 0.306
Pm 0.989 0.210 0.113
Sm 0.476 0.524 0.750
Sm 0.524 0.476 0.250
Sc 0.081 0.919 0.250
Sc 0.919 0.081 0.750
```

Properties
Calculated density   6.933 g/cm3
Final energy   -95.11 eV/cell
Total moment   0.000 μB per atom